The following is a PBE-GGA calculation of a relaxed structure of As2RuSeI, from the Alexandria database.

Computed properties:
The polymorph energy (0 for the lowest one) is 0 meV per atom. The spin magnetization is 0.00 μB per atom. The space-group type is P4/mmm (123). The value obtained for the final energy is -0.316 Ry per atom. The raw formation energy comes out at 0.425 eV/atom.

CIF file:
```
data_As2RuSeI
_chemical_formula_sum 'As2 Ru1 Se1 I1'
_cell_length_a 4.7356
_cell_length_b 4.7356
_cell_length_c 5.3310
_cell_angle_alpha 90.00
_cell_angle_beta 90.00
_cell_angle_gamma 90.00
_symmetry_space_group_name_H-M 'P 1'
_symmetry_Int_Tables_number 1
loop_
_symmetry_equiv_pos_as_xyz
'x,y,z'
loop_
_atom_site_label
_atom_site_fract_x
_atom_site_fract_y
_atom_site_fract_z
As1 0.0000 0.5000 0.0000
As2 0.5000 0.0000 0.0000
Ru1 0.0000 0.0000 0.0000
Se1 0.0000 0.0000 0.5000
I1 0.5000 0.5000 0.5000
```